# 1
A relaxed structure of In4IBr2Cl. Source: Alexandria, functional PBE.

abc: 9.504 9.504 9.500
angles: 119.97 119.97 90.08
Fractional positions:
In1 0.252 0.770 0.011
In2 0.730 0.248 0.489
In3 0.270 0.752 0.511
In4 0.748 0.230 0.989
In5 0.748 0.758 0.999
In6 0.742 0.752 0.501
In7 0.258 0.248 0.499
In8 0.252 0.242 0.001
I1 0.000 0.500 0.000
I2 0.000 0.500 0.500
Br1 0.500 0.000 0.000
Br2 0.500 0.000 0.500
Br3 0.000 0.000 0.500
Br4 0.500 0.500 0.000
Cl1 0.500 0.500 0.500
Cl2 0.000 0.000 0.000

Summary:
ΔE_f (raw): -4.981 eV per formula unit
VASP energy: -45.36 eV/cell
mass density: 4.28 g cm⁻³

***

# 2
A relaxed structure of In6I3BrCl2. Source: Alexandria, functional PBE.

abc: 4.797 9.539 10.670
angles: 102.47 102.99 90.00
Fractional positions:
In1 0.336 0.899 0.671
In2 0.673 0.568 0.346
In3 0.664 0.101 0.329
In4 0.008 0.243 0.016
In5 0.992 0.757 0.984
In6 0.327 0.432 0.654
I1 0.500 0.500 0.000
I2 0.836 0.168 0.671
I3 0.164 0.832 0.329
Br1 0.500 0.000 0.000
Cl1 0.830 0.666 0.661
Cl2 0.170 0.334 0.339

Summary:
ΔE_f (raw): -7.124 eV per formula unit
VASP energy: -33.57 eV/cell
mass density: 4.37 g cm⁻³

***

# 3
A relaxed structure of K4I2BrCl. Source: Alexandria, functional PBE.

abc: 9.701 9.701 9.756
angles: 120.19 120.19 90.01
Fractional positions:
K1 0.230 0.749 0.989
K2 0.751 0.270 0.511
K3 0.249 0.730 0.489
K4 0.770 0.251 0.011
K5 0.755 0.745 0.980
K6 0.755 0.745 0.520
K7 0.245 0.255 0.480
K8 0.245 0.255 0.020
I1 0.500 0.000 0.000
I2 0.500 0.000 0.500
I3 0.000 0.000 0.500
I4 0.500 0.500 0.000
Br1 0.000 0.500 0.000
Br2 0.000 0.500 0.500
Cl1 0.500 0.500 0.500
Cl2 0.000 0.000 0.000

Summary:
ΔE_f (raw): -13.240 eV per formula unit
VASP energy: -48.50 eV/cell
mass density: 2.70 g cm⁻³

***

# 4
A relaxed structure of K6IBr3Cl2. Source: Alexandria, functional PBE.

abc: 8.214 8.214 8.145
angles: 99.76 99.76 120.03
Fractional positions:
K1 0.918 0.565 0.754
K2 0.730 0.730 0.247
K3 0.082 0.435 0.246
K4 0.565 0.918 0.754
K5 0.270 0.270 0.753
K6 0.435 0.082 0.246
I1 0.000 0.000 0.000
Br1 0.163 0.837 0.500
Br2 0.837 0.163 0.500
Br3 0.500 0.500 0.500
Cl1 0.333 0.667 0.000
Cl2 0.667 0.333 0.000

Summary:
ΔE_f (raw): -21.151 eV per formula unit
VASP energy: -38.00 eV/cell
mass density: 2.49 g cm⁻³

***

# 5
A relaxed structure of K3IBrCl. Source: Alexandria, functional PBE.

abc: 4.735 8.262 12.369
angles: 102.46 90.00 90.00
Fractional positions:
K1 0.250 0.770 0.491
K2 0.750 0.041 0.162
K3 0.750 0.562 0.166
K4 0.750 0.230 0.509
K5 0.250 0.438 0.834
K6 0.250 0.959 0.838
I1 0.750 0.649 0.691
I2 0.250 0.351 0.309
Br1 0.250 0.764 0.048
Br2 0.750 0.236 0.952
Cl1 0.250 0.131 0.641
Cl2 0.750 0.869 0.359

Summary:
ΔE_f (raw): -10.232 eV per formula unit
VASP energy: -37.19 eV/cell
mass density: 2.53 g cm⁻³

***

# 6
A relaxed structure of K4IBrCl2. Source: Alexandria, functional PBE.

abc: 9.428 9.428 9.379
angles: 119.83 119.83 90.07
Fractional positions:
K1 0.273 0.766 0.020
K2 0.734 0.227 0.480
K3 0.266 0.773 0.520
K4 0.727 0.234 0.980
K5 0.741 0.759 0.008
K6 0.741 0.759 0.492
K7 0.259 0.241 0.508
K8 0.259 0.241 0.992
I1 0.000 0.500 0.000
I2 0.000 0.500 0.500
Br1 0.500 0.500 0.500
Br2 0.000 0.000 0.000
Cl1 0.500 0.000 0.000
Cl2 0.500 0.000 0.500
Cl3 0.000 0.000 0.500
Cl4 0.500 0.500 0.000

Summary:
ΔE_f (raw): -14.178 eV per formula unit
VASP energy: -50.97 eV/cell
mass density: 2.43 g cm⁻³

***

# 7
A relaxed structure of K8I3Br4Cl. Source: Alexandria, functional PBE.

abc: 9.664 9.713 9.662
angles: 119.81 120.00 90.00
Fractional positions:
K1 0.247 0.758 0.011
K2 0.247 0.758 0.495
K3 0.244 0.231 0.487
K4 0.765 0.758 0.011
K5 0.235 0.242 0.989
K6 0.756 0.769 0.513
K7 0.753 0.242 0.505
K8 0.753 0.242 0.989
I1 0.500 0.500 0.000
I2 0.500 0.500 0.500
I3 0.000 0.500 0.500
Br1 0.500 0.000 0.000
Br2 0.500 0.000 0.500
Br3 0.000 0.000 0.000
Br4 0.000 0.000 0.500
Cl1 0.000 0.500 0.000

Summary:
ΔE_f (raw): -26.661 eV per formula unit
VASP energy: -48.63 eV/cell
mass density: 2.71 g cm⁻³

***

# 8
A relaxed structure of K4IBr2Cl. Source: Alexandria, functional PBE.

abc: 9.550 9.550 9.478
angles: 119.75 119.75 90.05
Fractional positions:
K1 0.258 0.767 0.012
K2 0.733 0.242 0.488
K3 0.267 0.758 0.512
K4 0.742 0.233 0.988
K5 0.745 0.756 0.994
K6 0.744 0.755 0.506
K7 0.256 0.245 0.494
K8 0.255 0.244 0.006
I1 0.000 0.500 0.000
I2 0.000 0.500 0.500
Br1 0.500 0.000 0.000
Br2 0.500 0.000 0.500
Br3 0.000 0.000 0.500
Br4 0.500 0.500 0.000
Cl1 0.500 0.500 0.500
Cl2 0.000 0.000 0.000

Summary:
ΔE_f (raw): -13.749 eV per formula unit
VASP energy: -49.76 eV/cell
mass density: 2.58 g cm⁻³